[1]
Entry from Alexandria: an optimized crystal structure of BaGa2Pb2 (PBE).

Geometry as CIF:
```
data_BaGa2Pb2
_chemical_formula_sum 'Ba2 Ga4 Pb4'
_cell_length_a 4.960
_cell_length_b 4.960
_cell_length_c 12.726
_cell_angle_alpha 90.00
_cell_angle_beta 90.00
_cell_angle_gamma 90.00
_symmetry_space_group_name_H-M 'I 4/m m m'
_symmetry_Int_Tables_number 139
_symmetry_space_group_name_Hall '-I 4 2'
loop_
_atom_site_label
_atom_site_type_symbol
_atom_site_fract_x
_atom_site_fract_y
_atom_site_fract_z
Ba1 Ba 0.000 0.000 0.000
Ga1 Ga 0.000 0.500 0.250
Pb1 Pb 0.000 0.000 0.373
```

V: 31.3 Å³ per atom
M_tot: 0.000 μB per formula unit
D(E_F): 2.14 states/eV/f.u.
ΔH_f (0 K): -0.237 eV per atom
offset from the most stable computed form: 69 meV/atom

***

[2]
Entry from Alexandria: an optimized crystal structure of BeTl2Se (PBE).

Geometry as CIF:
```
data_BeTl2Se
_chemical_formula_sum 'Be3 Tl6 Se3'
_cell_length_a 3.6162
_cell_length_b 3.6162
_cell_length_c 26.7001
_cell_angle_alpha 90.00
_cell_angle_beta 90.00
_cell_angle_gamma 120.00
_symmetry_space_group_name_H-M 'R 3 m'
_symmetry_Int_Tables_number 160
_symmetry_space_group_name_Hall 'R 3 -2"'
loop_
_atom_site_label
_atom_site_type_symbol
_atom_site_fract_x
_atom_site_fract_y
_atom_site_fract_z
Be1 Be 0.0000 0.0000 0.0000
Tl1 Tl 0.0000 0.0000 0.2437
Tl2 Tl 0.0000 0.0000 0.4712
Se1 Se 0.0000 0.0000 0.6902
```

formation energy without anion corrections: -0.8 eV/f.u.
V: 25.2 Å³ per atom
M_tot: 0.000 μB per formula unit
D(E_F): 2.32 states/eV/f.u.
offset from the most stable computed form: 0 meV/atom